First-principles (PBE-GGA) data for a geometry-optimized Ce2SbAs4 structure, as listed in the Alexandria database.

The structure in CIF format:
```
data_Ce2SbAs4
_chemical_formula_sum 'Ce2 Sb1 As4'
_symmetry_space_group_name_H-M 'P -4 m 2'
_symmetry_Int_Tables_number 115
_symmetry_space_group_name_Hall 'P -4 -2'
_cell_length_a 3.9919
_cell_length_b 3.9919
_cell_length_c 10.9012
_cell_angle_alpha 90.00
_cell_angle_beta 90.00
_cell_angle_gamma 90.00
loop_
_atom_site_label
_atom_site_fract_x
_atom_site_fract_y
_atom_site_fract_z
Ce1 0.0000 0.5000 0.2150
Sb1 0.0000 0.0000 0.5000
As1 0.0000 0.0000 0.0000
As2 0.0000 0.5000 0.7031
As3 0.5000 0.5000 0.0000
```

Values from the calculation:
mass density	6.7	g/cm3
electronic total energy	-39.8	eV per formula unit
volume	174	Å³ per cell
density of states at the Fermi level	9.7	states/eV/cell